Sm2CrNiO6 GGA+U optimized geometry; total energy = -0.2718 Ha/atom
1.0
-2.2447 4.6547 1.4611
-4.9234 -2.6715 0.9469
2.0717 -1.2425 7.2668
Sm Cr Ni O
4 2 2 12
Direct
0.0177 0.9344 0.2502 Sm
0.5177 0.5656 0.7502 Sm
0.9823 0.0656 0.7498 Sm
0.4823 0.4344 0.2498 Sm
0.5000 0.0000 0.5000 Cr
0.0000 0.5000 0.0000 Cr
0.5000 0.0000 0.0000 Ni
0.0000 0.5000 0.5000 Ni
0.2919 0.6907 0.0493 O
0.7919 0.8093 0.5493 O
0.7081 0.3093 0.9507 O
0.2081 0.1907 0.4507 O
0.3124 0.7084 0.4474 O
0.8124 0.7916 0.9474 O
0.6876 0.2916 0.5526 O
0.1876 0.2084 0.0526 O
0.9018 0.5317 0.2405 O
0.4018 0.9683 0.7405 O
0.0982 0.4683 0.7595 O
0.5982 0.0317 0.2595 O